[1]
DFT (PBE) results for a relaxed Na4Ce3CoS8 crystal.

Calculated values
E_tot, eV per atom: -5.368
Calculated volume, Å³/cell: 365.64
Energy relative to the elements, uncorrected, eV/atom: -1.418

abc: 8.090 8.090 8.090
angles: 58.96 58.96 58.96
Fractional coordinates of all 16 atoms:
Na1 0.000 0.000 0.000
Na2 0.000 0.500 0.500
Na3 0.500 0.000 0.500
Na4 0.500 0.500 0.000
Ce1 0.000 0.000 0.500
Ce2 0.000 0.500 0.000
Ce3 0.500 0.000 0.000
Co1 0.500 0.500 0.500
S1 0.245 0.245 0.245
S2 0.253 0.734 0.734
S3 0.266 0.266 0.747
S4 0.266 0.747 0.266
S5 0.734 0.253 0.734
S6 0.734 0.734 0.253
S7 0.747 0.266 0.266
S8 0.755 0.755 0.755

[2]
DFT (PBE) results for a relaxed Na3Ce2CoSe6 crystal.

Calculated values
E_tot, eV per atom: -4.866
Calculated volume, Å³/cell: 301.73
Energy relative to the elements, uncorrected, eV/atom: -1.213

abc: 7.068 7.068 7.372
angles: 99.21 99.21 120.11
Fractional coordinates of all 12 atoms:
Na1 0.000 0.000 0.000
Na2 0.331 0.669 0.000
Na3 0.669 0.331 0.000
Ce1 0.166 0.834 0.500
Ce2 0.834 0.166 0.500
Co1 0.500 0.500 0.500
Se1 0.111 0.425 0.275
Se2 0.262 0.262 0.723
Se3 0.425 0.111 0.275
Se4 0.575 0.889 0.725
Se5 0.738 0.738 0.277
Se6 0.889 0.575 0.725

[3]
DFT (PBE) results for a relaxed Ce2NbCo9 crystal.

Calculated values
Energy relative to the elements, eV/f.u.: -1.08
E_tot, eV per atom: -7.247
Calculated volume, Å³/cell: 160.65

abc: 8.632 8.632 8.632
angles: 32.02 32.02 32.02
Fractional coordinates of all 12 atoms:
Ce1 0.138 0.138 0.138
Ce2 0.862 0.862 0.862
Nb1 0.000 0.000 0.000
Co1 0.079 0.578 0.578
Co2 0.333 0.333 0.333
Co3 0.422 0.422 0.921
Co4 0.422 0.921 0.422
Co5 0.500 0.500 0.500
Co6 0.578 0.079 0.578
Co7 0.578 0.578 0.079
Co8 0.667 0.667 0.667
Co9 0.921 0.422 0.422

[4]
DFT (PBE) results for a relaxed CeNb2Co9 crystal.

Calculated values
Energy relative to the elements, eV/f.u.: -1.61
E_tot, eV per atom: -7.637
Calculated volume, Å³/cell: 156.94

abc: 8.338 8.338 8.338
angles: 33.46 33.46 33.46
Fractional coordinates of all 12 atoms:
Ce1 0.000 0.000 0.000
Nb1 0.141 0.141 0.141
Nb2 0.859 0.859 0.859
Co1 0.081 0.590 0.590
Co2 0.335 0.335 0.335
Co3 0.410 0.410 0.919
Co4 0.410 0.919 0.410
Co5 0.500 0.500 0.500
Co6 0.590 0.081 0.590
Co7 0.590 0.590 0.081
Co8 0.665 0.665 0.665
Co9 0.919 0.410 0.410

[5]
DFT (PBE) results for a relaxed CeNbCo2P2 crystal.

Calculated values
Energy relative to the elements, eV/f.u.: -5.15
E_tot, eV per atom: -7.697
Calculated volume, Å³/cell: 91.89

abc: 3.784 3.784 7.412
angles: 90.00 90.00 120.00
Fractional coordinates of all 6 atoms:
Ce1 0.000 0.000 0.000
Nb1 0.000 0.000 0.500
Co1 0.333 0.667 0.743
Co2 0.667 0.333 0.257
P1 0.333 0.667 0.285
P2 0.667 0.333 0.715

[6]
DFT (PBE) results for a relaxed CeNd3Co3 crystal.

Calculated values
Energy relative to the elements, eV/f.u.: -0.78
E_tot, eV per atom: -6.047
Calculated volume, Å³/cell: 322.52

abc: 6.671 6.671 14.686
angles: 113.74 113.74 32.94
Fractional coordinates of all 14 atoms:
Ce1 0.161 0.161 0.389
Ce2 0.839 0.839 0.611
Nd1 0.123 0.123 0.630
Nd2 0.333 0.333 0.919
Nd3 0.459 0.459 0.195
Nd4 0.541 0.541 0.805
Nd5 0.667 0.667 0.081
Nd6 0.877 0.877 0.370
Co1 0.015 0.015 0.929
Co2 0.165 0.165 0.242
Co3 0.425 0.425 0.544
Co4 0.575 0.575 0.456
Co5 0.835 0.835 0.758
Co6 0.985 0.985 0.071

[7]
DFT (PBE) results for a relaxed CeNd2Co6 crystal.

Calculated values
Energy relative to the elements, eV/f.u.: -0.72
E_tot, eV per atom: -6.536
Calculated volume, Å³/cell: 163.00

abc: 6.776 6.776 4.099
angles: 90.00 90.00 120.00
Fractional coordinates of all 9 atoms:
Ce1 0.000 0.000 0.000
Nd1 0.333 0.667 0.000
Nd2 0.667 0.333 0.000
Co1 0.000 0.331 0.500
Co2 0.000 0.669 0.500
Co3 0.331 0.000 0.500
Co4 0.331 0.331 0.500
Co5 0.669 0.000 0.500
Co6 0.669 0.669 0.500

[8]
DFT (PBE) results for a relaxed CeNd2Co2 crystal.

Calculated values
Energy relative to the elements, eV/f.u.: -0.71
E_tot, eV per atom: -6.079
Calculated volume, Å³/cell: 231.26
Relative energy among the computed polymorphs, eV per atom: 0.016

abc: 6.820 6.820 11.452
angles: 122.95 122.95 31.76
Fractional coordinates of all 10 atoms:
Ce1 0.137 0.137 0.345
Ce2 0.863 0.863 0.655
Nd1 0.149 0.149 0.681
Nd2 0.398 0.398 0.064
Nd3 0.602 0.602 0.936
Nd4 0.851 0.851 0.319
Co1 0.108 0.108 0.136
Co2 0.436 0.436 0.569
Co3 0.564 0.564 0.431
Co4 0.892 0.892 0.864

[9]
DFT (PBE) results for a relaxed Ce2NdCo crystal.

Calculated values
Energy relative to the elements, eV/f.u.: -0.43
E_tot, eV per atom: -6.042
Calculated volume, Å³/cell: 200.12
Relative energy among the computed polymorphs, eV per atom: 0.002

abc: 3.596 9.556 6.092
angles: 90.00 107.08 90.00
Fractional coordinates of all 8 atoms:
Ce1 0.141 0.064 0.282
Ce2 0.141 0.436 0.282
Ce3 0.859 0.564 0.718
Ce4 0.859 0.936 0.718
Nd1 0.416 0.250 0.830
Nd2 0.584 0.750 0.170
Co1 0.306 0.750 0.612
Co2 0.694 0.250 0.388

[10]
DFT (PBE) results for a relaxed CeNd2Co2 crystal.

Calculated values
Energy relative to the elements, eV/f.u.: -0.79
E_tot, eV per atom: -6.094
Calculated volume, Å³/cell: 228.96
Relative energy among the computed polymorphs, eV per atom: 0.000

abc: 6.106 6.106 7.009
angles: 96.47 96.47 62.10
Fractional coordinates of all 10 atoms:
Ce1 0.081 0.919 0.750
Ce2 0.919 0.081 0.250
Nd1 0.239 0.457 0.353
Nd2 0.457 0.239 0.853
Nd3 0.543 0.761 0.147
Nd4 0.761 0.543 0.647
Co1 0.002 0.697 0.977
Co2 0.303 0.998 0.523
Co3 0.697 0.002 0.477
Co4 0.998 0.303 0.023

[11]
DFT (PBE) results for a relaxed Ce4NdCo4 crystal.

Calculated values
Energy relative to the elements, eV/f.u.: -1.26
E_tot, eV per atom: -6.465
Calculated volume, Å³/cell: 395.84

abc: 8.295 8.295 5.753
angles: 90.00 90.00 90.00
Fractional coordinates of all 18 atoms:
Ce1 0.056 0.668 0.183
Ce2 0.168 0.944 0.683
Ce3 0.332 0.556 0.683
Ce4 0.444 0.832 0.183
Ce5 0.556 0.168 0.817
Ce6 0.668 0.444 0.317
Ce7 0.832 0.056 0.317
Ce8 0.944 0.332 0.817
Nd1 0.250 0.250 0.250
Nd2 0.750 0.750 0.750
Co1 0.055 0.604 0.661
Co2 0.104 0.945 0.161
Co3 0.396 0.555 0.161
Co4 0.445 0.896 0.661
Co5 0.555 0.104 0.339
Co6 0.604 0.445 0.839
Co7 0.896 0.055 0.839
Co8 0.945 0.396 0.339

[12]
DFT (PBE) results for a relaxed Ce2NdCo crystal.

Calculated values
Energy relative to the elements, eV/f.u.: -0.08
E_tot, eV per atom: -5.954
Calculated volume, Å³/cell: 108.85
Relative energy among the computed polymorphs, eV per atom: 0.090

abc: 9.197 9.197 9.197
angles: 23.53 23.53 23.53
Fractional coordinates of all 4 atoms:
Ce1 0.000 0.000 0.000
Ce2 0.216 0.216 0.216
Nd1 0.441 0.441 0.441
Co1 0.608 0.608 0.608